[1]
Compound: LiTlCd2
Source: Alexandria via LeMat-Bulk
Functional: PBEsol
Structure: relaxed

Unit cell a=3.2167 b=3.2167 c=29.3602 alpha=90.00 beta=90.00 gamma=120.00
Space group R-3m (No. 166, hexagonal axes)
One atom of each set of equivalent atoms:
Li (0.0000, 0.0000, 0.0000) (multiplicity 3)
Tl (0.0000, 0.0000, 0.5000) (multiplicity 3)
Cd (0.0000, 0.0000, 0.2576) (multiplicity 6)

## Properties
Total energy in eV per atom: -1.794
ΔH_f (0 K) in eV per atom: -0.047

=====

[2]
Compound: LiTlCd2
Source: Alexandria via LeMat-Bulk
Functional: PBEsol
Structure: relaxed

Unit cell a=4.327 b=4.327 c=9.067 alpha=90.00 beta=90.00 gamma=90.00
Space group I4/mmm (No. 139)
One atom of each set of equivalent atoms:
Li (0.000, 0.000, 0.000) (multiplicity 2)
Tl (0.000, 0.000, 0.500) (multiplicity 2)
Cd (0.000, 0.500, 0.250) (multiplicity 4)

## Properties
Total energy in eV per atom: -1.865
ΔH_f (0 K) in eV per atom: -0.117

=====

[3]
Compound: LiTlCd2
Source: Alexandria via LeMat-Bulk
Functional: PBEsol
Structure: relaxed

Unit cell a=5.995 b=10.743 c=3.149 alpha=90.00 beta=121.51 gamma=90.00
Space group C2/m (No. 12)
One atom of each set of equivalent atoms:
Li (0.000, 0.000, 0.000) (multiplicity 2)
Tl (0.000, 0.500, 0.000) (multiplicity 2)
Cd (0.250, 0.250, 0.500) (multiplicity 4)

## Properties
Total energy in eV per atom: -1.833
ΔH_f (0 K) in eV per atom: -0.085

=====

[4]
Compound: LiTlCd2
Source: Alexandria via LeMat-Bulk
Functional: PBEsol
Structure: relaxed

Unit cell a=9.684 b=3.192 c=5.680 alpha=90.00 beta=100.91 gamma=90.00
Space group Cm (No. 8)
One atom of each set of equivalent atoms:
Li (0.000, 0.000, 0.000) (multiplicity 2)
Tl (0.251, 0.000, 0.764) (multiplicity 2)
Cd (0.243, 0.500, 0.245) (multiplicity 2)
Cd (0.494, 0.000, 0.473) (multiplicity 2)

## Properties
Total energy in eV per atom: -1.842
ΔH_f (0 K) in eV per atom: -0.094

=====

[5]
Compound: Li2TlCd
Source: Alexandria via LeMat-Bulk
Functional: PBEsol
Structure: relaxed

Unit cell a=4.787 b=4.787 c=6.672 alpha=90.00 beta=90.00 gamma=90.00
Space group I-4m2 (No. 119)
One atom of each set of equivalent atoms:
Li (0.000, 0.000, 0.000) (multiplicity 2)
Li (0.000, 0.500, 0.250) (multiplicity 2)
Tl (0.000, 0.000, 0.500) (multiplicity 2)
Cd (0.000, 0.500, 0.750) (multiplicity 2)

## Properties
Total energy in eV per atom: -2.210
ΔH_f (0 K) in eV per atom: -0.270

=====

[6]
Compound: Li2Tl2Cd
Source: Alexandria via LeMat-Bulk
Functional: PBEsol
Structure: relaxed

Unit cell a=7.894 b=7.894 c=3.392 alpha=90.00 beta=90.00 gamma=90.00
Space group P4/mbm (No. 127)
One atom of each set of equivalent atoms:
Li (0.158, 0.342, 0.000) (multiplicity 4)
Tl (0.142, 0.642, 0.500) (multiplicity 4)
Cd (0.000, 0.000, 0.500) (multiplicity 2)

## Properties
Total energy in eV per atom: -2.240
ΔH_f (0 K) in eV per atom: -0.162

=====

[7]
Compound: LiTlCd2
Source: Alexandria via LeMat-Bulk
Functional: PBEsol
Structure: relaxed

Unit cell a=6.963 b=6.963 c=6.963 alpha=90.00 beta=90.00 gamma=90.00
Space group F-43m (No. 216)
One atom of each set of equivalent atoms:
Li (0.000, 0.000, 0.000) (multiplicity 4)
Tl (0.250, 0.250, 0.250) (multiplicity 4)
Cd (0.000, 0.000, 0.500) (multiplicity 4)
Cd (0.250, 0.250, 0.750) (multiplicity 4)

## Properties
Total energy in eV per atom: -1.869
ΔH_f (0 K) in eV per atom: -0.121

=====

[8]
Compound: Li2TlCd2
Source: Alexandria via LeMat-Bulk
Functional: PBEsol
Structure: relaxed

Unit cell a=7.928 b=7.928 c=3.185 alpha=90.00 beta=90.00 gamma=90.00
Space group P4/mbm (No. 127)
One atom of each set of equivalent atoms:
Li (0.166, 0.334, 0.000) (multiplicity 4)
Tl (0.000, 0.000, 0.500) (multiplicity 2)
Cd (0.131, 0.631, 0.500) (multiplicity 4)

## Properties
Total energy in eV per atom: -1.963
ΔH_f (0 K) in eV per atom: -0.172

=====

Question: The highest ΔH_f (0 K) belongs to which entry?
Answer: number 1

=====

Question: Among the records above, which one has the highest ΔH_f (0 K)?
Answer: number 1

=====

Please write out number 2 again, unchanged.
Compound: LiTlCd2
Source: Alexandria via LeMat-Bulk
Functional: PBEsol
Structure: relaxed

Unit cell a=4.327 b=4.327 c=9.067 alpha=90.00 beta=90.00 gamma=90.00
Space group I4/mmm (No. 139)
One atom of each set of equivalent atoms:
Li (0.000, 0.000, 0.000) (multiplicity 2)
Tl (0.000, 0.000, 0.500) (multiplicity 2)
Cd (0.000, 0.500, 0.250) (multiplicity 4)

## Properties
Total energy in eV per atom: -1.865
ΔH_f (0 K) in eV per atom: -0.117

=====

Question: The highest ΔH_f (0 K) belongs to which entry?
Answer: number 1